[1]
## SmErAu6 (PBE)

Data for a geometry-optimized SmErAu6 structure.

Output
ρ: 15.04 g/cm3
DFT total energy: -4.28 eV/atom
volume: 165.53 Å³ per cell
DOS(E_F): 0.411 states/eV per atom

Lattice parameters (Å, degrees): 4.663 5.015 8.336 84.91 73.76 62.30
Fractional positions:
Au (0.252, 0.377, 0.119)
Er (0.000, 0.000, 0.000)
Au (0.505, 0.240, 0.749)
Sm (0.000, 0.500, 0.500)
Au (0.495, 0.760, 0.251)
Au (0.748, 0.623, 0.881)
Au (0.246, 0.872, 0.635)
Au (0.754, 0.128, 0.365)

[2]
## SmEr5Au4 (PBE)

Data for a geometry-optimized SmEr5Au4 structure.

Output
ρ: 11.98 g/cm3
DFT total energy: -4.76 eV/atom
volume: 246.06 Å³ per cell
DOS(E_F): 0.715 states/eV per atom

Lattice parameters (Å, degrees): 3.546 3.546 19.566 90.00 90.00 90.00
Fractional positions:
Er (0.500, 0.500, 0.132)
Au (0.000, 0.000, 0.779)
Er (0.500, 0.500, 0.685)
Er (0.500, 0.500, 0.500)
Sm (0.000, 0.000, 0.000)
Er (0.500, 0.500, 0.868)
Au (0.000, 0.000, 0.221)
Au (0.000, 0.000, 0.593)
Er (0.500, 0.500, 0.315)
Au (0.000, 0.000, 0.407)

[3]
## Sm2ErAu (PBE)

Data for a geometry-optimized Sm2ErAu structure.

Output
distance to the lowest polymorph of the same formula: 113 meV per atom
ρ: 9.13 g/cm3
volume: 120.91 Å³ per cell
DOS(E_F): 1.383 states/eV per atom

Lattice parameters (Å, degrees): 3.727 3.727 10.279 79.55 79.55 60.00
Fractional positions:
Sm (0.072, 0.072, 0.783)
Au (0.667, 0.667, 0.000)
Er (0.500, 0.500, 0.501)
Sm (0.261, 0.261, 0.216)

[4]
## Sm2ErAu (PBE)

Data for a geometry-optimized Sm2ErAu structure.

Output
distance to the lowest polymorph of the same formula: 0 meV per atom
ρ: 9.54 g/cm3
volume: 231.55 Å³ per cell
DOS(E_F): 1.068 states/eV per atom

Lattice parameters (Å, degrees): 4.458 6.342 8.751 90.00 90.00 110.63
Fractional positions:
Au (0.231, 0.462, 0.250)
Sm (0.639, 0.278, 0.045)
Er (0.949, 0.898, 0.250)
Sm (0.639, 0.278, 0.455)
Au (0.769, 0.538, 0.750)
Er (0.051, 0.102, 0.750)
Sm (0.361, 0.722, 0.955)
Sm (0.361, 0.722, 0.545)

[5]
## SmEr2Au (PBE)

Data for a geometry-optimized SmEr2Au structure.

Output
distance to the lowest polymorph of the same formula: 141 meV per atom
ρ: 9.58 g/cm3
volume: 118.18 Å³ per cell
DOS(E_F): 1.283 states/eV per atom

Lattice parameters (Å, degrees): 3.737 3.737 10.007 79.24 79.24 60.00
Fractional positions:
Au (0.666, 0.666, 0.003)
Er (0.068, 0.068, 0.797)
Er (0.265, 0.265, 0.204)
Sm (0.501, 0.501, 0.497)

[6]
## Sm2ErAu2 (PBE)

Data for a geometry-optimized Sm2ErAu2 structure.

Output
ρ: 10.88 g/cm3
DFT total energy: -4.78 eV/atom
volume: 263.13 Å³ per cell
DOS(E_F): 1.109 states/eV per atom

Lattice parameters (Å, degrees): 3.859 8.257 8.257 90.00 90.00 90.00
Fractional positions:
Sm (0.500, 0.334, 0.166)
Au (0.000, 0.631, 0.131)
Er (0.000, 0.500, 0.500)
Sm (0.500, 0.666, 0.834)
Sm (0.500, 0.166, 0.666)
Au (0.000, 0.131, 0.369)
Au (0.000, 0.369, 0.869)
Er (0.000, 0.000, 0.000)
Au (0.000, 0.869, 0.631)
Sm (0.500, 0.834, 0.334)

[7]
## SmEr2Au (PBE)

Data for a geometry-optimized SmEr2Au structure.

Output
distance to the lowest polymorph of the same formula: 150 meV per atom
ρ: 9.65 g/cm3
volume: 117.35 Å³ per cell
DOS(E_F): 1.312 states/eV per atom

Lattice parameters (Å, degrees): 3.693 3.693 10.163 79.53 79.53 60.00
Fractional positions:
Er (0.265, 0.265, 0.205)
Er (0.735, 0.735, 0.795)
Sm (0.500, 0.500, 0.500)
Au (0.000, 0.000, 0.000)

[8]
## Sm2Er3Au2 (PBE)

Data for a geometry-optimized Sm2Er3Au2 structure.

Output
ρ: 10.21 g/cm3
DFT total energy: -4.75 eV/atom
volume: 194.68 Å³ per cell
DOS(E_F): 1.311 states/eV per atom

Lattice parameters (Å, degrees): 3.713 6.669 9.166 115.60 90.00 106.16
Fractional positions:
Au (0.833, 0.666, 0.766)
Er (0.500, 0.000, 0.000)
Sm (0.151, 0.302, 0.814)
Er (0.614, 0.228, 0.446)
Er (0.386, 0.772, 0.554)
Au (0.167, 0.334, 0.234)
Sm (0.849, 0.698, 0.186)

[9]
## SmEr4Au5 (PBE)

Data for a geometry-optimized SmEr4Au5 structure.

Output
ρ: 12.97 g/cm3
DFT total energy: -4.80 eV/atom
volume: 230.92 Å³ per cell
DOS(E_F): 0.410 states/eV per atom

Lattice parameters (Å, degrees): 3.558 3.558 18.242 90.00 90.00 90.00
Fractional positions:
Er (0.000, 0.000, 0.401)
Au (0.500, 0.500, 0.303)
Er (0.000, 0.000, 0.797)
Au (0.500, 0.500, 0.891)
Au (0.500, 0.500, 0.697)
Sm (0.000, 0.000, 0.000)
Er (0.000, 0.000, 0.203)
Au (0.500, 0.500, 0.109)
Er (0.000, 0.000, 0.599)
Au (0.500, 0.500, 0.500)

[10]
## SmErAu (PBE)

Data for a geometry-optimized SmErAu structure.

Output
distance to the lowest polymorph of the same formula: 214 meV per atom
ρ: 10.47 g/cm3
volume: 81.61 Å³ per cell
DOS(E_F): 0.837 states/eV per atom

Lattice parameters (Å, degrees): 3.917 4.905 4.905 120.00 90.00 90.00
Fractional positions:
Au (0.043, 0.000, 0.000)
Sm (0.716, 0.667, 0.333)
Er (0.241, 0.333, 0.667)

[11]
## Sm2Er2Au3 (PBE)

Data for a geometry-optimized Sm2Er2Au3 structure.

Output
ρ: 11.20 g/cm3
DFT total energy: -4.71 eV/atom
volume: 363.48 Å³ per cell
DOS(E_F): 1.228 states/eV per atom

Lattice parameters (Å, degrees): 7.787 7.787 7.787 109.47 109.47 109.47
Fractional positions:
Au (0.250, 0.863, 0.113)
Sm (0.645, 0.145, 0.145)
Au (0.137, 0.387, 0.250)
Sm (0.500, 0.355, 0.500)
Er (0.500, 0.864, 0.500)
Au (0.887, 0.250, 0.637)
Er (0.364, 0.500, 0.000)
Au (0.613, 0.750, 0.863)
Er (0.136, 0.636, 0.636)
Er (0.000, 0.000, 0.864)
Au (0.750, 0.637, 0.387)
Sm (0.855, 0.500, 0.000)
Sm (0.000, 0.000, 0.355)
Au (0.363, 0.113, 0.750)

[12]
## SmErAu (PBE)

Data for a geometry-optimized SmErAu structure.

Output
distance to the lowest polymorph of the same formula: 197 meV per atom
ρ: 9.64 g/cm3
volume: 88.66 Å³ per cell
DOS(E_F): 1.343 states/eV per atom

Lattice parameters (Å, degrees): 5.005 5.005 5.005 60.00 60.00 60.00
Fractional positions:
Er (0.000, 0.000, 0.000)
Sm (0.500, 0.500, 0.500)
Au (0.250, 0.250, 0.250)